1.
# LiScNiSn

LiScNiSn after structural relaxation (GGA-PBE, the Open Quantum Materials Database).

Unit cell a=6.513 b=6.513 c=6.513 alpha=90.00 beta=90.00 gamma=90.00
Space group F-43m (No. 216)
Symmetry-distinct sites (fractional):
Li 0.000 0.000 0.000 [4 per cell]
Sc 0.000 0.000 0.500 [4 per cell]
Ni 0.250 0.250 0.750 [4 per cell]
Sn 0.250 0.250 0.250 [4 per cell]

## Properties
ΔE to the lowest computed polymorph = 1.11 eV per formula unit

2.
# GaAg124

GaAg124 after structural relaxation (GGA-PBE, the Open Quantum Materials Database).

Unit cell a=20.818 b=20.818 c=20.818 alpha=90.00 beta=90.00 gamma=90.00
Space group Fm-3m (No. 225)
Symmetry-distinct sites (fractional):
Ga 0.000 0.000 0.000 [4 per cell]
Ag 0.000 0.000 0.200 [24 per cell]
Ag 0.000 0.000 0.400 [24 per cell]
Ag 0.000 0.100 0.100 [48 per cell]
Ag 0.000 0.100 0.300 [96 per cell]
Ag 0.000 0.200 0.200 [48 per cell]
Ag 0.100 0.100 0.200 [96 per cell]
Ag 0.100 0.100 0.400 [32 per cell]
Ag 0.100 0.200 0.300 [96 per cell]
Ag 0.200 0.200 0.200 [32 per cell]

## Properties
Electronic total energy = -2.83 eV/atom

3.
# NaSiAgSeS2

NaSiAgSeS2 after structural relaxation (GGA-PBE, the Open Quantum Materials Database).

Unit cell a=3.384 b=14.551 c=10.131 alpha=90.00 beta=90.00 gamma=90.00
Space group Cmcm (No. 63)
Symmetry-distinct sites (fractional):
Na 0.000 0.204 0.250 [4 per cell]
Si 0.000 0.500 0.000 [4 per cell]
Ag 0.000 0.119 0.750 [4 per cell]
Se 0.000 0.457 0.750 [4 per cell]
S 0.000 0.114 0.515 [8 per cell]

## Properties
Electronic total energy = -3.91 eV/atom

4.
# BeFeGe

BeFeGe after structural relaxation (GGA-PBE, the Open Quantum Materials Database).

Unit cell a=5.220 b=5.220 c=5.220 alpha=90.00 beta=90.00 gamma=90.00
Space group F-43m (No. 216)
Symmetry-distinct sites (fractional):
Be 0.000 0.000 0.000 [4 per cell]
Fe 0.250 0.250 0.750 [4 per cell]
Ge 0.250 0.250 0.250 [4 per cell]

## Properties
ΔE to the lowest computed polymorph = 0.01 eV per formula unit

5.
# AlSiHg

AlSiHg after structural relaxation (GGA-PBE, the Open Quantum Materials Database).

Unit cell a=6.299 b=6.299 c=6.299 alpha=90.00 beta=90.00 gamma=90.00
Space group F-43m (No. 216)
Symmetry-distinct sites (fractional):
Al 0.000 0.000 0.000 [4 per cell]
Si 0.250 0.250 0.250 [4 per cell]
Hg 0.250 0.250 0.750 [4 per cell]

## Properties
ΔE to the lowest computed polymorph = 0.00 eV per formula unit

6.
# PrZnSi

PrZnSi after structural relaxation (GGA-PBE, the Open Quantum Materials Database).

Unit cell a=6.567 b=6.567 c=6.567 alpha=90.00 beta=90.00 gamma=90.00
Space group F-43m (No. 216)
Symmetry-distinct sites (fractional):
Pr 0.000 0.000 0.000 [4 per cell]
Zn 0.000 0.000 0.500 [4 per cell]
Si 0.250 0.250 0.250 [4 per cell]

## Properties
Electronic total energy = -4.09 eV/atom

7.
# HoNpPa

HoNpPa after structural relaxation (GGA-PBE, the Open Quantum Materials Database).

Unit cell a=6.948 b=6.948 c=6.948 alpha=90.00 beta=90.00 gamma=90.00
Space group F-43m (No. 216)
Symmetry-distinct sites (fractional):
Ho 0.000 0.000 0.000 [4 per cell]
Np 0.250 0.250 0.250 [4 per cell]
Pa 0.250 0.250 0.750 [4 per cell]

## Properties
Energy of formation = 4.22 eV per formula unit

8.
# BaSmAgO3

BaSmAgO3 after structural relaxation (GGA-PBE, the Open Quantum Materials Database).

Unit cell a=3.756 b=13.054 c=8.952 alpha=90.00 beta=90.00 gamma=90.00
Space group Cmcm (No. 63)
Symmetry-distinct sites (fractional):
Ba 0.000 0.190 0.250 [4 per cell]
Sm 0.000 0.500 0.000 [4 per cell]
Ag 0.000 0.104 0.750 [4 per cell]
O 0.000 0.114 0.520 [8 per cell]
O 0.000 0.443 0.750 [4 per cell]

## Properties
Electronic total energy = -6.27 eV/atom